Below is a geometry-optimized MnCrRh structure, with properties calculated at the PBE level.

Results
For the formation energy, the calculation gives 0.043 eV per atom. The value obtained for the energy above the most stable polymorph in this dataset is 0.40 kcal/mol of atoms. The calculation puts the density of states at the Fermi level at 4.18 states/eV/f.u. As for the total DFT energy (no corrections): -8.67 eV per atom.

Cell lengths 2.6479, 2.6479, 11.0240 Å; angles 90.00, 90.00, 90.00 degrees
Last column: nearest neighbours and their distance in Å.
Space group I4mm (No. 107)
One atom of each set of equivalent atoms:
Mn 0.0000 0.0000 0.0000 [2 per cell]  4 Cr 2.58, 4 Mn 2.65, 4 Rh 2.71
Cr 0.0000 0.0000 0.3384 [2 per cell]  4 Rh 2.57, 4 Mn 2.58, 4 Cr 2.65
Rh 0.0000 0.0000 0.6780 [2 per cell]  4 Cr 2.57, 4 Rh 2.65, 4 Mn 2.71